## Y3C2 (GGA-PBE)

Data for a relaxed Y3C2 crystal.

Cell lengths 6.8978, 6.8978, 6.8978 Å; angles 53.60, 53.60, 53.60 degrees
Atoms (fractional coordinates):
Y1 0.0627 0.7500 0.4373
Y2 0.2500 0.5627 0.9373
Y3 0.4373 0.0627 0.7500
Y4 0.5627 0.9373 0.2500
Y5 0.7500 0.4373 0.0627
Y6 0.9373 0.2500 0.5627
C1 0.1556 0.1556 0.1556
C2 0.3444 0.3444 0.3444
C3 0.6556 0.6556 0.6556
C4 0.8444 0.8444 0.8444

Properties
As for the symmetry: No. 167. Its spin magnetization is 0.00 μB per cell. For the energy of formation, the calculation gives -0.211 eV per atom. The calculation puts the electronic total energy at -77.8 eV for the cell shown. The value obtained for the energy above the most stable polymorph in this dataset is 0.358 eV/f.u.